# PBE-GGA Mg2Tl, relaxed
# - theoretical density (Mg/m³) = 5.232
# - formation enthalpy at 0 K (eV per atom) = 0.022
# - space group = Fm-3m
data_Mg2Tl
_cell_length_a 6.848
_cell_length_b 6.848
_cell_length_c 6.848
_cell_angle_alpha 90.00
_cell_angle_beta 90.00
_cell_angle_gamma 90.00
_symmetry_space_group_name_H-M 'P 1'
_symmetry_Int_Tables_number 1
loop_
_symmetry_equiv_pos_as_xyz
'x,y,z'
loop_
_atom_site_label
_atom_site_type_symbol
_atom_site_fract_x
_atom_site_fract_y
_atom_site_fract_z
_atom_site_occupancy
Mg1 Mg 0.750 0.250 0.750 1
Mg2 Mg 0.750 0.750 0.750 1
Mg3 Mg 0.250 0.750 0.250 1
Mg4 Mg 0.750 0.750 0.250 1
Mg5 Mg 0.250 0.250 0.750 1
Mg6 Mg 0.250 0.250 0.250 1
Mg7 Mg 0.750 0.250 0.250 1
Mg8 Mg 0.250 0.750 0.750 1
Tl1 Tl 0.500 0.000 0.500 1
Tl2 Tl 0.000 0.500 0.500 1
Tl3 Tl 0.000 0.000 0.000 1
Tl4 Tl 0.500 0.500 0.000 1

***

# PBE-GGA Pr2Sm4ErTm, relaxed
# - theoretical density (Mg/m³) = 7.396
# - formation enthalpy at 0 K (eV per atom) = 0.394
# - space group = C2/c
data_Pr2Sm4ErTm
_cell_length_a 9.578
_cell_length_b 9.578
_cell_length_c 11.925
_cell_angle_alpha 128.41
_cell_angle_beta 128.41
_cell_angle_gamma 88.26
_symmetry_space_group_name_H-M 'P 1'
_symmetry_Int_Tables_number 1
loop_
_symmetry_equiv_pos_as_xyz
'x,y,z'
loop_
_atom_site_label
_atom_site_type_symbol
_atom_site_fract_x
_atom_site_fract_y
_atom_site_fract_z
_atom_site_occupancy
Sm1 Sm 0.731 0.724 0.973 1
Sm2 Sm 0.269 0.276 0.027 1
Sm3 Sm 0.243 0.756 0.996 1
Sm4 Sm 0.776 0.769 0.527 1
Sm5 Sm 0.256 0.743 0.496 1
Sm6 Sm 0.224 0.231 0.473 1
Sm7 Sm 0.757 0.244 0.004 1
Sm8 Sm 0.744 0.257 0.504 1
Pr1 Pr 0.500 0.000 0.000 1
Pr2 Pr 0.500 0.500 0.000 1
Pr3 Pr 0.000 0.000 0.500 1
Pr4 Pr 0.500 0.000 0.500 1
Tm1 Tm 0.000 0.000 0.000 1
Tm2 Tm 0.500 0.500 0.500 1
Er1 Er 0.000 0.500 0.000 1
Er2 Er 0.000 0.500 0.500 1

***

# PBE-GGA Sn3GeF, relaxed
# - raw total energy (eV per atom) = -3.922
# - theoretical density (Mg/m³) = 6.009
# - space group = Pm-3m
data_Sn3GeF
_cell_length_a 4.983
_cell_length_b 4.983
_cell_length_c 4.983
_cell_angle_alpha 90.00
_cell_angle_beta 90.00
_cell_angle_gamma 90.00
_symmetry_space_group_name_H-M 'P 1'
_symmetry_Int_Tables_number 1
loop_
_symmetry_equiv_pos_as_xyz
'x,y,z'
loop_
_atom_site_label
_atom_site_type_symbol
_atom_site_fract_x
_atom_site_fract_y
_atom_site_fract_z
_atom_site_occupancy
Sn1 Sn 0.500 0.000 0.000 1
Sn2 Sn 0.000 0.000 0.500 1
Sn3 Sn 0.000 0.500 0.000 1
F1 F 0.000 0.000 0.000 1
Ge1 Ge 0.500 0.500 0.500 1

***

Question: theoretical density of number 1 (Mg2Tl)?
Answer: 5.232 Mg/m³